Entry from Alexandria via LeMat-Bulk: a geometry-optimized Ca4PSe structure (PBE-GGA).

a b c (Å): 6.218 6.218 6.218
angles (deg): 60.00 60.00 60.00
Positions (direct):
Ca 0.873 0.376 0.376
Ca 0.376 0.873 0.376
Ca 0.376 0.376 0.873
Se 0.000 0.000 0.000
P 0.750 0.750 0.750
Ca 0.376 0.376 0.376

Output
As for the energy: -2.7393 eV per atom. The calculation puts the raw formation energy at 0.08 eV/atom.

***

Entry from Alexandria via LeMat-Bulk: a geometry-optimized Ti6N2O structure (PBE-GGA).

a b c (Å): 5.158 5.383 7.854
angles (deg): 90.00 94.68 90.00
Positions (direct):
Ti 0.340 0.814 0.447
O 0.000 0.000 0.500
Ti 0.335 0.827 0.096
Ti 0.812 0.950 0.258
Ti 0.835 0.673 0.596
Ti 0.840 0.686 0.947
N 0.544 0.870 0.706
Ti 0.688 0.450 0.242
O 0.500 0.500 0.000
Ti 0.160 0.314 0.053
Ti 0.312 0.550 0.758
N 0.456 0.130 0.294
Ti 0.165 0.327 0.404
N 0.044 0.630 0.206
Ti 0.660 0.186 0.553
N 0.956 0.370 0.794
Ti 0.188 0.050 0.742
Ti 0.665 0.173 0.904

Output
The value obtained for the energy above the lowest structure with this stoichiometry is 201 meV per atom. As for the energy: -8.9167 eV per atom. The calculation puts the raw formation energy at -1.25 eV/atom.

***

Entry from Alexandria via LeMat-Bulk: a geometry-optimized Pm2InSb3Ir4 structure (PBE-GGA).

a b c (Å): 4.370 4.370 11.261
angles (deg): 90.00 90.00 90.00
Positions (direct):
Pm 0.500 0.000 0.248
Sb 0.500 0.000 0.866
Ir 0.500 0.500 0.000
Ir 0.500 0.000 0.640
In 0.500 0.500 0.500
Sb 0.000 0.000 0.500
Pm 0.000 0.500 0.752
Ir 0.000 0.000 0.000
Sb 0.000 0.500 0.134
Ir 0.000 0.500 0.360

Output
As for the energy: -6.5662 eV per atom. The calculation puts the raw formation energy at -0.56 eV/atom.

***

> The lowest energy belongs to which entry?

Ti6N2O

***

> The highest raw formation energy belongs to which entry?

Ca4PSe